(1)
## CaAgO2 (PBE)

Data for an optimized crystal structure of CaAgO2.

Results
Crystal system: trigonal
Uncorrected formation energy, meV/atom: -1270
SG: R3m

a b c (Å): 3.3741 3.3741 6.0027
angles (deg): 73.68 73.68 60.00
Last column: nearest neighbours and their distance in Å.
Atoms (fractional coordinates):
Ag1 0.6694 0.6694 0.9918  6 O 2.42-2.48
O1 0.0872 0.0872 0.7384  3 Ca 2.34, 3 Ag 2.42
O2 0.2464 0.2464 0.2607  3 Ca 2.40, 3 Ag 2.48
Ca1 0.4970 0.4970 0.5090  6 O 2.34-2.40

***

(2)
## NaSeBr (PBE)

Data for an optimized crystal structure of NaSeBr.

Results
Crystal system: monoclinic
Offset from the most stable computed form, kJ/mol of formula units: 0
Uncorrected formation energy, meV/atom: -891
SG: C2/m

a b c (Å): 4.1727 5.1212 12.7866
angles (deg): 122.15 90.00 114.04
Last column: nearest neighbours and their distance in Å.
Atoms (fractional coordinates):
Se1 0.1678 0.3356 0.4677  2 Se 2.43
Se2 0.8322 0.6644 0.5323  2 Se 2.43
Na1 0.0490 0.0979 0.8689  4 Br 2.81-2.97
Na2 0.9510 0.9021 0.1311  4 Br 2.81-2.97
Br1 0.7296 0.4592 0.8449  4 Na 2.81-2.97
Br2 0.2704 0.5408 0.1551  4 Na 2.81-2.97

***

Summary of calculated density in g/cm³
5.34, 2.98
(order as listed above)